Record 1
First-principles (PBE) data for a relaxed ZnCr2Ga crystal, as listed in the Alexandria database. Values from VASP.

Results
The formation energy comes out at 0.64 eV/atom. The value obtained for the density of states at the Fermi level is 1.1128 states/eV/atom.

The structure in Quantum ESPRESSO input format:
```
&SYSTEM
  ibrav = 0, nat = 8, ntyp = 3
/
ATOMIC_SPECIES
Zn 65.41 Zn.upf
Cr 52.00 Cr.upf
Ga 69.72 Ga.upf
CELL_PARAMETERS angstrom
-3.374 3.374 2.506
3.374 -3.374 2.506
3.374 3.374 -2.506
ATOMIC_POSITIONS crystal
Zn 0.000 0.000 0.000
Zn 0.750 0.250 0.500
Cr 0.128 0.625 0.003
Cr 0.375 0.378 0.503
Cr 0.622 0.125 0.997
Cr 0.875 0.872 0.497
Ga 0.250 0.750 0.500
Ga 0.500 0.500 0.000
```



Record 2
First-principles (PBE) data for a relaxed HfGe2MoN crystal, as listed in the Alexandria database. Values from VASP.

Results
The value obtained for the formation energy from raw total energies is 1.156 eV/atom. The value obtained for the density of states at the Fermi level is 1.6820 states/eV/atom.

The structure in Quantum ESPRESSO input format:
```
&SYSTEM
  ibrav = 0, nat = 5, ntyp = 4
/
ATOMIC_SPECIES
Hf 178.49 Hf.upf
Ge 72.64 Ge.upf
Mo 95.94 Mo.upf
N 14.01 N.upf
CELL_PARAMETERS angstrom
5.141 0.000 0.000
0.000 5.141 0.000
0.000 0.000 3.892
ATOMIC_POSITIONS crystal
Hf 0.000 0.000 0.000
Ge 0.000 0.500 0.000
Ge 0.500 0.000 0.000
Mo 0.500 0.500 0.500
N 0.000 0.000 0.500
```



Record 3
First-principles (PBE) data for a relaxed Fe2CuAs crystal, as listed in the Alexandria database. Values from VASP.

Results
The formation energy comes out at 0.33 eV/atom. The value obtained for the density of states at the Fermi level is 0.8972 states/eV/atom.

The structure in Quantum ESPRESSO input format:
```
&SYSTEM
  ibrav = 0, nat = 8, ntyp = 3
/
ATOMIC_SPECIES
Fe 55.84 Fe.upf
Cu 63.55 Cu.upf
As 74.92 As.upf
CELL_PARAMETERS angstrom
-1.774 1.774 8.743
1.774 -1.774 8.743
1.774 1.774 -8.743
ATOMIC_POSITIONS crystal
Fe 0.116 0.625 0.991
Fe 0.375 0.366 0.491
Fe 0.634 0.125 0.009
Fe 0.875 0.884 0.509
Cu 0.250 0.750 0.500
Cu 0.500 0.500 0.000
As 0.000 0.000 0.000
As 0.750 0.250 0.500
```



Record 4
First-principles (PBE) data for a relaxed Mn2NiMo crystal, as listed in the Alexandria database. Values from VASP.

Results
The formation energy comes out at 0.05 eV/atom. The value obtained for the density of states at the Fermi level is 0.8656 states/eV/atom.

The structure in Quantum ESPRESSO input format:
```
&SYSTEM
  ibrav = 0, nat = 4, ntyp = 3
/
ATOMIC_SPECIES
Mn 54.94 Mn.upf
Ni 58.69 Ni.upf
Mo 95.94 Mo.upf
CELL_PARAMETERS angstrom
2.600 0.000 0.000
0.000 2.600 0.000
0.000 0.000 7.474
ATOMIC_POSITIONS crystal
Mn 0.000 0.000 0.000
Mn 0.500 0.500 0.228
Ni 0.500 0.500 0.762
Mo 0.000 0.000 0.502
```



Record 5
First-principles (PBE) data for a relaxed LaEr14Tm crystal, as listed in the Alexandria database. Values from VASP.

Results
The formation energy comes out at 0.01 eV/atom. The value obtained for the density of states at the Fermi level is 1.3226 states/eV/atom.

The structure in Quantum ESPRESSO input format:
```
&SYSTEM
  ibrav = 0, nat = 16, ntyp = 3
/
ATOMIC_SPECIES
La 138.91 La.upf
Er 167.26 Er.upf
Tm 168.93 Tm.upf
CELL_PARAMETERS angstrom
11.382 0.000 0.000
0.000 3.540 6.133
0.000 -3.540 6.133
ATOMIC_POSITIONS crystal
La 0.000 0.000 0.000
Er 0.000 0.000 0.500
Er 0.000 0.500 0.000
Er 0.250 0.333 0.333
Er 0.253 0.335 0.833
Er 0.253 0.833 0.335
Er 0.253 0.833 0.833
Er 0.500 0.167 0.167
Er 0.500 0.167 0.666
Er 0.500 0.666 0.167
Er 0.500 0.667 0.667
Er 0.747 0.335 0.833
Er 0.747 0.833 0.335
Er 0.747 0.833 0.833
Er 0.750 0.333 0.333
Tm 0.000 0.500 0.500
```



Record 6
First-principles (PBE) data for a relaxed Rb2TaHgCl6 crystal, as listed in the Alexandria database. Values from VASP.

Results
The value obtained for the formation energy from raw total energies is -1.363 eV/atom. The value obtained for the density of states at the Fermi level is 0.8468 states/eV/atom.

The structure in Quantum ESPRESSO input format:
```
&SYSTEM
  ibrav = 0, nat = 10, ntyp = 4
/
ATOMIC_SPECIES
Rb 85.47 Rb.upf
Ta 180.95 Ta.upf
Hg 200.59 Hg.upf
Cl 35.45 Cl.upf
CELL_PARAMETERS angstrom
0.000 5.710 5.710
5.710 0.000 5.710
5.710 5.710 0.000
ATOMIC_POSITIONS crystal
Rb 0.250 0.250 0.250
Rb 0.750 0.750 0.750
Ta 0.000 0.000 0.000
Hg 0.500 0.500 0.500
Cl 0.212 0.212 0.788
Cl 0.212 0.788 0.212
Cl 0.212 0.788 0.788
Cl 0.788 0.212 0.212
Cl 0.788 0.212 0.788
Cl 0.788 0.788 0.212
```



Record 7
First-principles (PBE) data for a relaxed ZnBr2 crystal, as listed in the Alexandria database. Values from VASP.

Results
The value obtained for the formation energy from raw total energies is -0.291 eV/atom. The value obtained for the density of states at the Fermi level is 0.2055 states/eV/atom.

The structure in Quantum ESPRESSO input format:
```
&SYSTEM
  ibrav = 0, nat = 3, ntyp = 2
/
ATOMIC_SPECIES
Zn 65.41 Zn.upf
Br 79.90 Br.upf
CELL_PARAMETERS angstrom
0.000 3.378 3.378
3.378 0.000 3.378
3.378 3.378 0.000
ATOMIC_POSITIONS crystal
Zn 0.000 0.000 0.000
Br 0.250 0.250 0.250
Br 0.750 0.750 0.750
```



Record 8
First-principles (PBE) data for a relaxed CaSc2Ag crystal, as listed in the Alexandria database. Values from VASP.

Results
The formation energy comes out at 0.07 eV/atom. As for the excess energy over the best structure of this formula in the dataset: 129 meV per atom. The value obtained for the density of states at the Fermi level is 1.1366 states/eV/atom.

The structure in Quantum ESPRESSO input format:
```
&SYSTEM
  ibrav = 0, nat = 4, ntyp = 3
/
ATOMIC_SPECIES
Ca 40.08 Ca.upf
Sc 44.96 Sc.upf
Ag 107.87 Ag.upf
CELL_PARAMETERS angstrom
4.408 0.000 0.000
0.000 4.408 0.000
0.000 0.000 5.088
ATOMIC_POSITIONS crystal
Ca 0.000 0.000 0.000
Sc 0.000 0.500 0.500
Sc 0.500 0.000 0.500
Ag 0.500 0.500 0.000
```



E_tot per entry: -0.193; -0.239; -0.224; -0.319; -0.168; -0.143; -0.067; -0.158 hartree per atom
Ρ per entry: 6.96; 7.00; 7.55; 8.69; 8.90; 3.41; 4.85; 4.00 g/cm³
Volume per entry: 14.26; 20.58; 13.76; 12.63; 30.88; 37.23; 25.69; 24.71 Å³/atom